Entry w
6
Lattice="5.412 0.021 0.015 2.686 4.548 0.319 2.693 -0.259 4.548" Properties=species:S:1:pos:R:3 comment="MnNbPb | the Alexandria database | PBE | relaxed" space_group="No. 46" magmom_total_mub_per_cell=2.92 pbc="T T T"
Nb 7.072 3.201 2.102
Mn 3.021 0.762 2.391
Nb 1.677 0.418 0.214
Pb 4.362 3.081 3.613
Pb 4.378 1.948 0.306
Mn 5.727 0.771 2.400

=====

Entry x
12
Lattice="-1.379 2.423 -2.490 -18.996 -9.144 1.621 -0.769 2.021 2.393" Properties=species:S:1:pos:R:3 comment="MnNbPb | the Alexandria database | PBE | relaxed" space_group="No. 63" magmom_total_mub_per_cell=0.00 pbc="T T T"
Pb -15.882 -7.047 1.937
Pb -7.074 -1.264 -0.118
Mn -18.453 -8.285 2.156
Nb -2.125 1.118 -0.541
Nb -19.018 -5.818 2.064
Pb -3.882 -0.075 2.076
Nb -8.830 -2.458 2.499
Mn -9.645 -2.501 0.101
Pb -14.069 -3.436 1.642
Mn -1.311 1.162 1.857
Mn -11.499 -2.198 1.423
Nb -10.934 -4.665 1.515

=====

Most stable pick: entry x. Distance to second place: 197 meV per atom.

=====

Entry w
4
Lattice="0.000 3.138 3.138 3.138 0.000 3.138 3.138 3.138 0.000" Properties=species:S:1:pos:R:3 comment="Mn2NbPb | the Alexandria database | PBE | relaxed" space_group="No. 225" magmom_total_mub_per_cell=0.99 pbc="T T T"
Nb 0.000 0.000 0.000
Pb 3.138 3.138 3.138
Mn 4.707 4.707 4.707
Mn 1.569 1.569 1.569

=====

Entry x
8
Lattice="-0.956 -0.860 -7.205 -3.061 -6.542 1.187 -4.556 -2.474 -2.818" Properties=species:S:1:pos:R:3 comment="Mn2NbPb | the Alexandria database | PBE | relaxed" space_group="No. 122" magmom_total_mub_per_cell=10.40 pbc="T T T"
Pb 0.000 0.000 0.000
Nb -2.009 -3.701 -3.009
Mn -6.854 -8.163 -7.410
Pb -3.761 -3.517 -6.516
Mn -3.196 -4.837 -1.049
Mn -2.095 -1.951 -4.874
Mn -5.003 -4.799 -4.340
Nb -4.813 -6.358 -2.320

=====

Most stable pick: entry w. Distance to second place: 391 meV per atom.

=====

Entry w
5
Lattice="4.632 0.000 0.000 0.000 4.632 0.000 0.000 0.000 4.632" Properties=species:S:1:pos:R:3 comment="Mn3NbPb | the Alexandria database | PBE | relaxed" space_group="No. 221" magmom_total_mub_per_cell=0.00 pbc="T T T"
Pb 0.000 0.000 0.000
Nb 2.316 2.316 2.316
Mn 0.000 2.316 0.000
Mn 2.316 0.000 0.000
Mn 0.000 0.000 2.316

=====

Entry x
5
Lattice="-0.943 4.541 1.219 -1.198 -1.435 4.417 4.547 0.564 1.416" Properties=species:S:1:pos:R:3 comment="Mn3NbPb | the Alexandria database | PBE | relaxed" space_group="No. 221" magmom_total_mub_per_cell=8.80 pbc="T T T"
Mn -0.471 2.271 0.610
Nb 0.000 0.000 0.000
Pb 1.203 1.835 3.526
Mn 2.274 0.282 0.708
Mn -0.599 -0.717 2.208

=====

Most stable pick: entry x. Distance to second place: 1238 meV per atom.

=====

Entry w
4
Lattice="0.000 3.408 3.408 3.408 0.000 3.408 3.408 3.408 0.000" Properties=species:S:1:pos:R:3 comment="MnNbPb2 | the Alexandria database | PBE | relaxed" space_group="No. 225" magmom_total_mub_per_cell=0.00 pbc="T T T"
Nb 3.408 3.408 3.408
Pb 1.704 1.704 1.704
Mn 0.000 0.000 0.000
Pb 5.112 5.112 5.112

=====

Entry x
8
Lattice="7.657 0.000 0.000 0.000 7.657 0.000 3.829 3.829 3.106" Properties=species:S:1:pos:R:3 comment="MnNbPb2 | the Alexandria database | PBE | relaxed" space_group="No. 122" magmom_total_mub_per_cell=7.84 pbc="T T T"
Pb 9.572 9.427 2.329
Nb 7.657 3.829 1.553
Mn 3.829 3.829 0.000
Pb 5.743 5.888 2.329
Nb 0.000 0.000 0.000
Pb 2.059 5.743 0.776
Mn 3.829 7.657 1.553
Pb 5.598 1.914 0.776

=====

Most stable pick: entry x. Distance to second place: 121 meV per atom.